Entry 1:
Density functional theory data (PBE-GGA) for a relaxed Dy3SbC crystal.

abc: 4.145 8.269 8.245
angles: 78.32 90.00 104.51
Site moments in Bohr magnetons follow the coordinates.
Positions (direct):
Dy (0.045, 0.091, 0.158)  0.01
Dy (0.955, 0.909, 0.842)  0.01
Dy (0.676, 0.352, 0.871)  0.07
Dy (0.324, 0.648, 0.129)  0.07
Dy (0.840, 0.680, 0.442)  0.14
Dy (0.160, 0.320, 0.558)  0.14
Sb (0.332, 0.664, 0.729)  0.00
Sb (0.668, 0.336, 0.271)  0.00
C (0.099, 0.198, 0.862)  0.00
C (0.901, 0.802, 0.138)  0.00

- Spin magnetization: 0.6 μB per cell
- Symmetry: C2/m (12)
- DOS at the Fermi energy: 0.8157 states/eV/atom
- Formation energy from raw total energies: -0.445 eV/atom

Entry 2:
Density functional theory data (PBE-GGA) for a relaxed Dy3SbC crystal.

abc: 4.872 4.872 4.872
angles: 90.00 90.00 90.00
Positions (direct):
Sb (0.500, 0.500, 0.500)
C (0.000, 0.000, 0.000)
Dy (0.000, 0.500, 0.000)
Dy (0.000, 0.000, 0.500)
Dy (0.500, 0.000, 0.000)

- Spin magnetization: 0.0 μB per cell
- Symmetry: Pm-3m (221)
- DOS at the Fermi energy: 0.5904 states/eV/atom
- Formation energy from raw total energies: -0.621 eV/atom

Entry 3:
Density functional theory data (PBE-GGA) for a relaxed Dy5Sb2C crystal.

abc: 5.349 8.133 12.672
angles: 90.00 90.00 109.20
Site moments in Bohr magnetons follow the coordinates.
Positions (direct):
Dy (0.930, 0.860, 0.876)  0.11
Dy (0.930, 0.860, 0.624)  0.11
Dy (0.284, 0.567, 0.409)  0.07
Dy (0.284, 0.567, 0.091)  0.07
Dy (0.699, 0.397, 0.250)  0.17
Dy (0.301, 0.603, 0.750)  0.17
Dy (0.716, 0.433, 0.591)  0.07
Dy (0.716, 0.433, 0.909)  0.07
Dy (0.070, 0.140, 0.124)  0.11
Dy (0.070, 0.140, 0.376)  0.11
Sb (0.866, 0.732, 0.400)  0.00
Sb (0.866, 0.732, 0.100)  0.00
Sb (0.134, 0.268, 0.600)  0.00
Sb (0.134, 0.268, 0.900)  0.00
C (0.817, 0.633, 0.750)  -0.01
C (0.183, 0.367, 0.250)  -0.01

- Spin magnetization: 1.9 μB per cell
- Symmetry: Cmcm (63)
- DOS at the Fermi energy: 1.1766 states/eV/atom
- Formation energy from raw total energies: -0.281 eV/atom

Entry 4:
Density functional theory data (PBE-GGA) for a relaxed Dy12Sb3C5 crystal.

abc: 13.685 13.685 13.685
angles: 109.47 109.47 109.47
Positions (direct):
Sb (0.750, 0.375, 0.125)
Sb (0.875, 0.750, 0.125)
Sb (0.375, 0.750, 0.625)
Sb (0.250, 0.125, 0.375)
Sb (0.875, 0.125, 0.250)
Sb (0.375, 0.625, 0.250)
Sb (0.625, 0.375, 0.750)
Sb (0.125, 0.875, 0.750)
Sb (0.750, 0.875, 0.625)
Sb (0.625, 0.250, 0.375)
Sb (0.125, 0.250, 0.875)
Sb (0.250, 0.625, 0.875)
C (0.125, 0.375, 0.250)
C (0.000, 0.500, 0.000)
C (0.000, 0.000, 0.000)
C (0.375, 0.250, 0.125)
C (0.500, 0.000, 0.500)
C (0.500, 0.500, 0.000)
C (0.125, 0.750, 0.375)
C (0.750, 0.125, 0.875)
C (0.750, 0.625, 0.375)
C (0.375, 0.125, 0.750)
C (0.625, 0.875, 0.250)
C (0.500, 0.500, 0.500)
C (0.500, 0.000, 0.000)
C (0.000, 0.000, 0.500)
C (0.250, 0.375, 0.625)
C (0.250, 0.875, 0.125)
C (0.000, 0.500, 0.500)
C (0.875, 0.250, 0.625)
C (0.625, 0.750, 0.875)
C (0.875, 0.625, 0.750)
Dy (0.699, 0.112, 0.016)
Dy (0.317, 0.516, 0.404)
Dy (0.984, 0.388, 0.301)
Dy (0.516, 0.199, 0.112)
Dy (0.587, 0.699, 0.683)
Dy (0.984, 0.596, 0.183)
Dy (0.317, 0.801, 0.413)
Dy (0.096, 0.913, 0.112)
Dy (0.596, 0.984, 0.683)
Dy (0.699, 0.587, 0.183)
Dy (0.801, 0.484, 0.388)
Dy (0.817, 0.904, 0.016)
Dy (0.112, 0.699, 0.516)
Dy (0.388, 0.404, 0.087)
Dy (0.087, 0.904, 0.388)
Dy (0.413, 0.112, 0.596)
Dy (0.087, 0.183, 0.199)
Dy (0.484, 0.683, 0.096)
Dy (0.817, 0.913, 0.301)
Dy (0.112, 0.413, 0.096)
Dy (0.388, 0.984, 0.801)
Dy (0.596, 0.612, 0.413)
Dy (0.904, 0.817, 0.516)
Dy (0.801, 0.317, 0.913)
Dy (0.404, 0.388, 0.587)
Dy (0.096, 0.183, 0.484)
Dy (0.199, 0.683, 0.087)
Dy (0.183, 0.087, 0.699)
Dy (0.612, 0.016, 0.199)
Dy (0.888, 0.587, 0.904)
Dy (0.516, 0.317, 0.904)
Dy (0.587, 0.888, 0.404)
Dy (0.913, 0.817, 0.801)
Dy (0.913, 0.096, 0.612)
Dy (0.888, 0.301, 0.484)
Dy (0.183, 0.096, 0.984)
Dy (0.612, 0.596, 0.913)
Dy (0.404, 0.016, 0.317)
Dy (0.301, 0.413, 0.817)
Dy (0.199, 0.516, 0.612)
Dy (0.904, 0.087, 0.888)
Dy (0.683, 0.199, 0.587)
Dy (0.484, 0.801, 0.888)
Dy (0.016, 0.404, 0.817)
Dy (0.413, 0.301, 0.317)
Dy (0.016, 0.612, 0.699)
Dy (0.683, 0.484, 0.596)
Dy (0.301, 0.888, 0.984)

- Spin magnetization: 0.0 μB per cell
- Symmetry: Ia-3d (230)
- DOS at the Fermi energy: 0.6621 states/eV/atom
- Formation energy from raw total energies: -0.403 eV/atom

Entry 5:
Density functional theory data (PBE-GGA) for a relaxed Dy4Sb3C crystal.

abc: 6.050 8.832 9.535
angles: 90.00 90.00 90.00
Positions (direct):
Dy (0.066, 0.920, 0.000)
Dy (0.616, 0.186, 0.000)
Dy (0.069, 0.310, 0.209)
Dy (0.569, 0.690, 0.291)
Dy (0.116, 0.814, 0.500)
Dy (0.566, 0.080, 0.500)
Dy (0.569, 0.690, 0.709)
Dy (0.069, 0.310, 0.791)
Sb (0.562, 0.848, 0.000)
Sb (0.066, 0.657, 0.219)
Sb (0.566, 0.343, 0.281)
Sb (0.062, 0.152, 0.500)
Sb (0.566, 0.343, 0.719)
Sb (0.066, 0.657, 0.781)
C (0.000, 0.181, 0.000)
C (0.500, 0.819, 0.500)

- Spin magnetization: 0.0 μB per cell
- Symmetry: Pmn2_1 (31)
- DOS at the Fermi energy: 0.4914 states/eV/atom
- Formation energy from raw total energies: -0.576 eV/atom

Entry 6:
Density functional theory data (PBE-GGA) for a relaxed Dy3ScSb2C crystal.

abc: 4.512 4.751 8.563
angles: 106.11 105.28 90.00
Positions (direct):
Dy (0.000, 0.500, 0.000)
Dy (0.159, 0.159, 0.318)
Dy (0.841, 0.841, 0.682)
Sc (0.500, 0.000, 0.000)
Sb (0.642, 0.642, 0.283)
Sb (0.358, 0.358, 0.717)
C (0.000, 0.000, 0.000)

- Spin magnetization: 0.0 μB per cell
- Symmetry: Immm (71)
- DOS at the Fermi energy: 0.9782 states/eV/atom
- Formation energy from raw total energies: -0.841 eV/atom

Question: Which value of formation energy from raw total energies does entry 3 give?
Answer: -0.281 eV/atom